i | The following is a PBE calculation of AgHgCl3 after structural relaxation, from Alexandria.

a = 7.5607 Å, b = 7.1842 Å, c = 11.4442 Å
α = 116.35°, β = 90.00°, γ = 90.00°
Last column: nearest neighbours and their distance in Å.
Fractional positions:
Cl 0.9235 0.2799 0.3307  1 Ag 2.61, 1 Hg 2.90
Cl 0.1417 0.7549 0.3458  1 Hg 2.46, 2 Ag 2.56-2.72
Cl 0.3852 0.2745 0.5058  1 Hg 2.47
Cl 0.3583 0.2549 0.8458  1 Hg 2.46, 2 Ag 2.56-2.72
Cl 0.8852 0.2255 0.9942  1 Hg 2.47
Cl 0.1148 0.7745 0.0058  1 Hg 2.47
Cl 0.6148 0.7255 0.4942  1 Hg 2.47
Cl 0.6417 0.7451 0.1542  1 Hg 2.46, 2 Ag 2.56-2.72
Cl 0.4235 0.2201 0.1693  1 Ag 2.61, 1 Hg 2.90
Cl 0.0765 0.7201 0.6693  1 Ag 2.61, 1 Hg 2.90
Cl 0.5765 0.7799 0.8307  1 Ag 2.61, 1 Hg 2.90
Cl 0.8583 0.2451 0.6542  1 Hg 2.46, 2 Ag 2.56-2.72
Hg 0.7606 0.9901 0.0776  2 Cl 2.46-2.47
Hg 0.2606 0.5099 0.4224  2 Cl 2.46-2.47
Hg 0.2394 0.0099 0.9224  2 Cl 2.46-2.47
Hg 0.7394 0.4901 0.5776  2 Cl 2.46-2.47
Ag 0.3245 0.9352 0.2380  4 Cl 2.56-2.86
Ag 0.6755 0.0648 0.7620  4 Cl 2.56-2.86
Ag 0.1755 0.4352 0.7380  4 Cl 2.56-2.86
Ag 0.8245 0.5648 0.2620  4 Cl 2.56-2.86


ii | The following is a PBE calculation of AgHgCl3 after structural relaxation, from Alexandria.

a = 5.0536 Å, b = 5.0536 Å, c = 5.0536 Å
α = 90.00°, β = 90.00°, γ = 90.00°
Last column: nearest neighbours and their distance in Å.
Fractional positions:
Cl 0.5000 0.0000 0.0000  2 Ag 2.53
Cl 0.0000 0.0000 0.5000  2 Ag 2.53
Cl 0.0000 0.5000 0.0000  2 Ag 2.53
Hg 0.5000 0.5000 0.5000  12 Cl 3.57
Ag 0.0000 0.0000 0.0000  6 Cl 2.53


Energies relative to the most stable structure, in meV per atom: i 0; ii 337.


i | The following is a PBE calculation of AgHgCl3 after structural relaxation, from Alexandria.

a = 5.2533 Å, b = 5.2533 Å, c = 5.2533 Å
α = 90.00°, β = 90.00°, γ = 90.00°
Last column: nearest neighbours and their distance in Å.
Fractional positions:
Hg 0.0000 0.0000 0.0000  6 Cl 2.63
Cl 0.0000 0.5000 0.0000  2 Hg 2.63
Cl 0.0000 0.0000 0.5000  2 Hg 2.63
Cl 0.5000 0.0000 0.0000  2 Hg 2.63
Ag 0.5000 0.5000 0.5000  12 Cl 3.71


ii | The following is a PBE calculation of AgHgCl3 after structural relaxation, from Alexandria.

a = 6.8236 Å, b = 9.2387 Å, c = 9.2387 Å
α = 85.85°, β = 79.70°, γ = 79.70°
Last column: nearest neighbours and their distance in Å.
Fractional positions:
Hg 0.5240 0.3391 0.1652  2 Cl 2.44-2.48
Hg 0.9760 0.8348 0.6609  2 Cl 2.44-2.48
Hg 0.0240 0.1652 0.3391  2 Cl 2.44-2.48
Hg 0.4760 0.6609 0.8348  2 Cl 2.44-2.48
Cl 0.8438 0.1863 0.0521  1 Hg 2.48
Cl 0.8136 0.5592 0.7100  1 Hg 2.44
Cl 0.3967 0.3590 0.8782  2 Ag 2.57-2.67
Cl 0.3136 0.7100 0.5592  1 Hg 2.44
Cl 0.1562 0.8137 0.9479  1 Hg 2.48
Cl 0.6562 0.9479 0.8137  1 Hg 2.48
Cl 0.1864 0.4408 0.2900  1 Hg 2.44
Cl 0.6864 0.2900 0.4408  1 Hg 2.44
Cl 0.6033 0.6410 0.1218  2 Ag 2.57-2.67
Cl 0.3438 0.0521 0.1863  1 Hg 2.48
Cl 0.8967 0.8782 0.3590  2 Ag 2.57-2.67
Cl 0.1033 0.1218 0.6410  2 Ag 2.57-2.67
Ag 0.7500 0.2679 0.7321  4 Cl 2.57-2.79
Ag 0.7500 0.8914 0.1086  6 Cl 2.67-2.90
Ag 0.2500 0.1086 0.8914  6 Cl 2.67-2.90
Ag 0.2500 0.7321 0.2679  4 Cl 2.57-2.79


Energies relative to the most stable structure, in meV per atom: i 312; ii 0.


i | The following is a PBE calculation of Ag5Hg2Cl12 after structural relaxation, from Alexandria.

a = 7.4468 Å, b = 8.1135 Å, c = 9.8034 Å
α = 99.03°, β = 90.00°, γ = 117.32°
Last column: nearest neighbours and their distance in Å.
Fractional positions:
Cl 0.3663 0.2571 0.5001  3 Ag 2.56
Cl 0.5480 0.0960 0.8374  2 Hg 2.61
Cl 0.0504 0.6011 0.8544  2 Ag 2.53
Cl 0.5507 0.6011 0.8544  2 Ag 2.53
Cl 0.1092 0.7429 0.4999  3 Ag 2.56
Cl 0.9550 0.9100 0.1654  2 Hg 2.63
Cl 0.0450 0.0900 0.8346  2 Hg 2.63
Cl 0.4493 0.3989 0.1456  2 Ag 2.53
Cl 0.9496 0.3989 0.1456  2 Ag 2.53
Cl 0.4520 0.9040 0.1626  2 Hg 2.61
Cl 0.6337 0.7429 0.4999  3 Ag 2.56
Cl 0.8908 0.2571 0.5001  3 Ag 2.56
Ag 0.2515 0.5030 0.0015  4 Cl 2.53
Ag 0.2572 0.5143 0.5004  4 Cl 2.56
Ag 0.7485 0.4970 0.9985  4 Cl 2.53
Ag 0.7428 0.4857 0.4996  4 Cl 2.56
Ag 0.0000 0.0000 0.5000  4 Cl 2.56
Hg 0.7483 0.0000 0.0000  4 Cl 2.61-2.63
Hg 0.2517 0.0000 0.0000  4 Cl 2.61-2.63


ii | The following is a PBE calculation of Ag5Hg2Cl12 after structural relaxation, from Alexandria.

a = 7.2979 Å, b = 10.7355 Å, c = 7.9508 Å
α = 97.25°, β = 103.89°, γ = 108.87°
Last column: nearest neighbours and their distance in Å.
Fractional positions:
Cl 0.4360 0.3354 0.5546  2 Ag 2.45-2.48
Cl 0.5640 0.6646 0.4454  2 Ag 2.45-2.48
Cl 0.1641 0.3496 0.0981  2 Ag 2.40-2.56
Cl 0.5312 0.8138 0.0337  1 Ag 2.58, 2 Hg 2.76-2.88
Cl 0.7434 0.0541 0.7029  1 Hg 2.42
Cl 0.8780 0.1198 0.3382  1 Hg 2.43, 1 Ag 2.59
Cl 0.9137 0.5195 0.2958  3 Ag 2.53-2.58
Cl 0.1220 0.8802 0.6618  1 Hg 2.43, 1 Ag 2.59
Cl 0.2566 0.9459 0.2971  1 Hg 2.42
Cl 0.8359 0.6504 0.9019  2 Ag 2.40-2.56
Cl 0.4688 0.1862 0.9663  1 Ag 2.58, 2 Hg 2.76-2.88
Cl 0.0863 0.4805 0.7042  3 Ag 2.53-2.58
Ag 0.0000 0.5000 0.0000  4 Cl 2.40-2.58
Ag 0.8178 0.5727 0.5785  4 Cl 2.45-2.56
Ag 0.6477 0.8914 0.3756  4 Cl 2.48-2.74
Ag 0.3523 0.1086 0.6244  4 Cl 2.48-2.74
Ag 0.1822 0.4273 0.4215  4 Cl 2.45-2.56
Hg 0.2275 0.9187 0.9842  2 Cl 2.42-2.43
Hg 0.7725 0.0813 0.0158  2 Cl 2.42-2.43


Energies relative to the most stable structure, in meV per atom: i 0; ii 12.


i | The following is a PBE calculation of InAgHg2Cl after structural relaxation, from Alexandria.

a = 6.2812 Å, b = 4.6660 Å, c = 6.2812 Å
α = 90.00°, β = 90.00°, γ = 90.00°
Last column: nearest neighbours and their distance in Å.
Fractional positions:
Hg 0.0000 0.0000 0.5000  2 Cl 3.14
Hg 0.5000 0.0000 0.0000  2 Cl 3.14
In 0.5000 0.5000 0.5000  8 Hg 3.91
Cl 0.0000 0.0000 0.0000  2 Ag 2.33
Ag 0.0000 0.5000 0.0000  2 Cl 2.33


ii | The following is a PBE calculation of InAgHg2Cl after structural relaxation, from Alexandria.

a = 5.6742 Å, b = 5.3289 Å, c = 5.6742 Å
α = 90.00°, β = 90.00°, γ = 90.00°
Last column: nearest neighbours and their distance in Å.
Fractional positions:
Hg 0.0000 0.0000 0.5000  2 In 2.84
Hg 0.5000 0.0000 0.0000  2 In 2.84
Ag 0.0000 0.5000 0.0000  2 In 2.66
In 0.0000 0.0000 0.0000  2 Ag 2.66, 4 Hg 2.84
Cl 0.5000 0.5000 0.5000  8 Hg 3.89, 4 Ag 4.01


Energies relative to the most stable structure, in meV per atom: i 68; ii 0.


i | The following is a PBE calculation of AgHgP2Cl after structural relaxation, from Alexandria.

a = 4.9684 Å, b = 4.9684 Å, c = 5.6843 Å
α = 90.00°, β = 90.00°, γ = 90.00°
Last column: nearest neighbours and their distance in Å.
Fractional positions:
P 0.5000 0.0000 0.0000  2 Hg 2.48
P 0.0000 0.5000 0.0000  2 Hg 2.48
Hg 0.0000 0.0000 0.0000  4 P 2.48
Ag 0.5000 0.5000 0.5000  4 Cl 3.51, 8 P 3.77
Cl 0.0000 0.0000 0.5000  2 Hg 2.84


ii | The following is a PBE calculation of AgHgP2Cl after structural relaxation, from Alexandria.

a = 4.8781 Å, b = 4.8781 Å, c = 5.1910 Å
α = 90.00°, β = 90.00°, γ = 90.00°
Last column: nearest neighbours and their distance in Å.
Fractional positions:
P 0.5000 0.0000 0.0000  2 Ag 2.44
P 0.0000 0.5000 0.0000  2 Ag 2.44
Cl 0.0000 0.0000 0.5000  2 Ag 2.60
Hg 0.5000 0.5000 0.5000  4 Cl 3.45, 8 P 3.56
Ag 0.0000 0.0000 0.0000  4 P 2.44, 2 Cl 2.60


Energies relative to the most stable structure, in meV per atom: i 196; ii 0.


i | The following is a PBE calculation of AgHgPCl2 after structural relaxation, from Alexandria.

a = 5.0268 Å, b = 5.0268 Å, c = 5.1077 Å
α = 90.00°, β = 90.00°, γ = 90.00°
Last column: nearest neighbours and their distance in Å.
Fractional positions:
Ag 0.0000 0.0000 0.0000  4 Cl 2.51, 2 P 2.55
Cl 0.0000 0.5000 0.0000  2 Ag 2.51
Cl 0.5000 0.0000 0.0000  2 Ag 2.51
P 0.0000 0.0000 0.5000  2 Ag 2.55
Hg 0.5000 0.5000 0.5000  4 P 3.55, 8 Cl 3.58


ii | The following is a PBE calculation of AgHgPCl2 after structural relaxation, from Alexandria.

a = 5.4727 Å, b = 5.4727 Å, c = 4.9503 Å
α = 90.00°, β = 90.00°, γ = 90.00°
Last column: nearest neighbours and their distance in Å.
Fractional positions:
Hg 0.0000 0.0000 0.0000  2 P 2.48, 4 Cl 2.74
Cl 0.0000 0.5000 0.0000  2 Hg 2.74
Cl 0.5000 0.0000 0.0000  2 Hg 2.74
Ag 0.5000 0.5000 0.5000  8 Cl 3.69, 4 P 3.87
P 0.0000 0.0000 0.5000  2 Hg 2.48


Energies relative to the most stable structure, in meV per atom: i 0; ii 144.


i | The following is a PBE calculation of Ag3I2Cl after structural relaxation, from Alexandria.

a = 4.5584 Å, b = 4.5584 Å, c = 11.1161 Å
α = 90.00°, β = 90.00°, γ = 120.00°
Last column: nearest neighbours and their distance in Å.
Fractional positions:
Ag 0.6667 0.3333 0.6008  3 Cl 2.72, 1 I 2.84
Ag 0.0000 0.0000 0.2483  4 I 2.84-2.85
Ag 0.3333 0.6667 0.8996  1 Cl 2.63, 3 I 2.83
I 0.0000 0.0000 0.9926  4 Ag 2.83-2.84
I 0.6667 0.3333 0.3456  4 Ag 2.84-2.85
Cl 0.3333 0.6667 0.6631  4 Ag 2.63-2.72


ii | The following is a PBE calculation of Ag3I2Cl after structural relaxation, from Alexandria.

a = 4.5663 Å, b = 6.3689 Å, c = 7.8916 Å
α = 113.80°, β = 106.82°, γ = 90.00°
Last column: nearest neighbours and their distance in Å.
Fractional positions:
Ag 0.0000 0.0261 0.0000  2 Cl 2.68, 2 I 2.85
Ag 0.6591 0.6435 0.3182  1 Cl 2.65, 3 I 2.84-2.85
Ag 0.3409 0.3253 0.6818  1 Cl 2.65, 3 I 2.84-2.85
I 0.8365 0.5870 0.6730  4 Ag 2.84-2.85
I 0.1635 0.9141 0.3270  4 Ag 2.84-2.85
Cl 0.5000 0.2469 0.0000  4 Ag 2.65-2.68


Energies relative to the most stable structure, in meV per atom: i 8; ii 0.


i | The following is a PBE calculation of Ag2I2Cl after structural relaxation, from Alexandria.

a = 4.5252 Å, b = 10.8463 Å, c = 7.3888 Å
α = 94.32°, β = 72.40°, γ = 77.89°
Last column: nearest neighbours and their distance in Å.
Fractional positions:
Ag 0.8386 0.3299 0.4977  1 Cl 2.48, 1 I 2.76
Ag 0.1614 0.6701 0.5023  1 Cl 2.48, 1 I 2.76
Ag 0.6635 0.1699 0.0030  1 Cl 2.48, 1 I 2.76
Ag 0.3365 0.8301 0.9970  1 Cl 2.48, 1 I 2.76
I 0.5256 0.5875 0.7292  3 Ag 2.76-2.98
I 0.4744 0.4125 0.2708  3 Ag 2.76-2.98
I 0.1610 0.0864 0.2306  3 Ag 2.76-2.98
I 0.8390 0.9136 0.7694  3 Ag 2.76-2.98
Cl 0.0483 0.2499 0.7517  2 Ag 2.48
Cl 0.9517 0.7501 0.2483  2 Ag 2.48


ii | The following is a PBE calculation of Ag2I2Cl after structural relaxation, from Alexandria.

a = 8.1090 Å, b = 8.1090 Å, c = 4.0459 Å
α = 90.00°, β = 90.00°, γ = 90.00°
Last column: nearest neighbours and their distance in Å.
Fractional positions:
Cl 0.5000 0.5000 0.0000  4 Ag 3.09
Cl 0.0000 0.0000 0.0000  4 Ag 3.09
I 0.3435 0.1565 0.5000  6 Ag 3.01-3.20
I 0.6565 0.8435 0.5000  6 Ag 3.01-3.20
I 0.1565 0.6565 0.5000  6 Ag 3.01-3.20
I 0.8435 0.3435 0.5000  6 Ag 3.01-3.20
Ag 0.8510 0.6490 0.0000  6 I 3.01-3.20, 2 Cl 3.09
Ag 0.3510 0.8510 0.0000  6 I 3.01-3.20, 2 Cl 3.09
Ag 0.6490 0.1490 0.0000  6 I 3.01-3.20, 2 Cl 3.09
Ag 0.1490 0.3510 0.0000  6 I 3.01-3.20, 2 Cl 3.09


Energies relative to the most stable structure, in meV per atom: i 0; ii 262.